! Sc2P7Ru12 (SCAN, single point on PBEsol structure); values from VASP
! space group	P-6
! magnetic moment	0.00	μB/atom
! formation energy from the elements	-0.80	eV/atom
! mass density	8.8	g/cm3
&SYSTEM
  ibrav = 0, nat = 21, ntyp = 3
/
ATOMIC_SPECIES
P 30.97 P.upf
Sc 44.96 Sc.upf
Ru 101.07 Ru.upf
ATOMIC_POSITIONS angstrom
P 0.000 0.874 3.416
P 1.924 3.179 0.960
P 0.000 1.232 7.063
P 0.000 -2.106 5.549
P 0.000 0.000 0.000
P 1.924 6.833 2.273
P 1.924 3.869 4.781
Sc 1.924 0.000 5.343
Sc 0.000 4.627 2.671
Ru 1.924 2.301 3.138
Ru 1.924 6.194 4.453
Ru 1.924 -0.155 1.678
Ru 0.000 1.780 1.313
Ru 1.924 -3.096 7.310
Ru 0.000 -1.358 3.422
Ru 1.924 5.386 0.424
Ru 0.000 7.227 0.885
Ru 1.924 3.251 7.040
Ru 0.000 2.342 5.127
Ru 0.000 4.874 5.816
Ru 0.000 -0.984 7.479
CELL_PARAMETERS angstrom
3.848 0.000 0.000
0.000 9.254 0.000
0.000 -4.627 8.014